[1]
First-principles (PBE) data for a relaxed As2PbF crystal, as listed in Alexandria via LeMat-Bulk.

Space-group type: Fm-3m (225)
Raw formation energy, eV per atom: -0.11
E, eV/atom: -3.832

a = 4.8270 Å, b = 4.8270 Å, c = 4.8270 Å
α = 60.00°, β = 60.00°, γ = 60.00°
Closest atoms and distances in Å follow each position.
Element x y z (fractional)
Pb 0.5000 0.5000 0.5000  8 As 2.96
As 0.2500 0.2500 0.2500  4 F 2.96, 4 Pb 2.96
As 0.7500 0.7500 0.7500  4 F 2.96, 4 Pb 2.96
F 0.0000 0.0000 0.0000  8 As 2.96



[2]
First-principles (PBE) data for a relaxed As2PbF crystal, as listed in Alexandria via LeMat-Bulk.

Space-group type: I-42d (122)
Raw formation energy, eV per atom: -0.64
E, eV/atom: -4.359

a = 3.7797 Å, b = 3.7797 Å, c = 12.3742 Å
α = 81.22°, β = 81.22°, γ = 90.00°
Closest atoms and distances in Å follow each position.
Element x y z (fractional)
Pb 0.0000 0.0000 0.0000  4 F 2.67
Pb 0.7500 0.2500 0.5000  4 F 2.67
As 0.5891 0.1250 0.2500  2 As 2.49
As 0.1609 0.6250 0.2500  2 As 2.49
As 0.3750 0.4109 0.7500  2 As 2.49
As 0.8750 0.8391 0.7500  2 As 2.49
F 0.5000 0.5000 0.0000  4 Pb 2.67
F 0.2500 0.7500 0.5000  4 Pb 2.67



[3]
First-principles (PBE) data for a relaxed AsPbF crystal, as listed in Alexandria via LeMat-Bulk.

Space-group type: C2/m (12)
Raw formation energy, eV per atom: -1.04
E, eV/atom: -4.450

a = 4.8312 Å, b = 4.0439 Å, c = 8.9026 Å
α = 81.18°, β = 90.00°, γ = 126.68°
Closest atoms and distances in Å follow each position.
Element x y z (fractional)
Pb 0.2717 0.5435 0.6978  4 F 2.56-2.70
Pb 0.7283 0.4565 0.3022  4 F 2.56-2.70
As 0.1649 0.3298 0.0545  3 As 2.51-2.75
As 0.8351 0.6702 0.9455  3 As 2.51-2.75
F 0.3308 0.6615 0.4015  4 Pb 2.56-2.70
F 0.6692 0.3385 0.5985  4 Pb 2.56-2.70



[4]
First-principles (PBE) data for a relaxed AsPb2F crystal, as listed in Alexandria via LeMat-Bulk.

Space-group type: R-3m (166)
Raw formation energy, eV per atom: -0.73
E, eV/atom: -4.218

a = 4.5227 Å, b = 4.5227 Å, c = 8.1686 Å
α = 73.93°, β = 73.93°, γ = 60.00°
Closest atoms and distances in Å follow each position.
Element x y z (fractional)
Pb 0.1017 0.1017 0.6949  1 F 2.36
Pb 0.8983 0.8983 0.3051  1 F 2.36
As 0.5000 0.5000 0.5000  6 Pb 3.02
F 0.0000 0.0000 0.0000  2 Pb 2.36



[5]
First-principles (PBE) data for a relaxed As2PbF2 crystal, as listed in Alexandria via LeMat-Bulk.

Space-group type: P4/mbm (127)
Raw formation energy, eV per atom: -0.50
E, eV/atom: -3.845

a = 8.1929 Å, b = 8.1929 Å, c = 2.9149 Å
α = 90.00°, β = 90.00°, γ = 90.00°
Closest atoms and distances in Å follow each position.
Element x y z (fractional)
Pb 0.0000 0.0000 0.0000  2 Pb 2.91, 4 F 3.22, 8 As 3.26
Pb 0.5000 0.5000 0.0000  2 Pb 2.91, 4 F 3.22, 8 As 3.26
As 0.2242 0.7242 0.5000  2 F 2.24
As 0.7242 0.7758 0.5000  2 F 2.24
As 0.7758 0.2758 0.5000  2 F 2.24
As 0.2758 0.2242 0.5000  2 F 2.24
F 0.3713 0.8713 0.0000  2 As 2.24
F 0.8713 0.6287 0.0000  2 As 2.24
F 0.6287 0.1287 0.0000  2 As 2.24
F 0.1287 0.3713 0.0000  2 As 2.24



[6]
First-principles (PBE) data for a relaxed AsPb2F7 crystal, as listed in Alexandria via LeMat-Bulk.

Space-group type: C2/c (15)
Raw formation energy, eV per atom: -2.24
E, eV/atom: -4.759

a = 6.9913 Å, b = 7.8180 Å, c = 7.7360 Å
α = 66.55°, β = 63.14°, γ = 63.44°
Closest atoms and distances in Å follow each position.
Element x y z (fractional)
As 0.8797 0.2500 0.7500  5 F 1.82-2.03
As 0.1203 0.7500 0.2500  5 F 1.82-2.03
Pb 0.6472 0.8873 0.7040  3 F 2.35-2.59
Pb 0.7615 0.3873 0.2040  3 F 2.35-2.59
Pb 0.2385 0.6127 0.7960  3 F 2.35-2.59
Pb 0.3528 0.1127 0.2960  3 F 2.35-2.59
F 0.6865 0.5106 0.8223  1 As 2.01
F 0.9807 0.0106 0.3223  1 As 2.01
F 0.2541 0.8597 0.9511  1 As 2.03
F 0.4677 0.1888 0.4913  2 Pb 2.35-2.44
F 0.6196 0.2500 0.7500  1 As 1.82
F 0.9351 0.3597 0.4511  1 As 2.03
F 0.1478 0.3112 0.0087  2 Pb 2.35-2.44
F 0.8522 0.6888 0.9913  2 Pb 2.35-2.44
F 0.0649 0.6403 0.5489  1 As 2.03
F 0.3804 0.7500 0.2500  1 As 1.82
F 0.5323 0.8112 0.5087  2 Pb 2.35-2.44
F 0.7459 0.1403 0.0489  1 As 2.03
F 0.0193 0.9894 0.6777  1 As 2.01
F 0.3135 0.4894 0.1777  1 As 2.01



[7]
First-principles (PBE) data for a relaxed AsPb3F crystal, as listed in Alexandria via LeMat-Bulk.

Space-group type: Pm-3m (221)
Raw formation energy, eV per atom: -0.34
E, eV/atom: -3.873

a = 5.1318 Å, b = 5.1318 Å, c = 5.1318 Å
α = 90.00°, β = 90.00°, γ = 90.00°
Closest atoms and distances in Å follow each position.
Element x y z (fractional)
Pb 0.0000 0.5000 0.0000  2 F 2.57
Pb 0.0000 0.0000 0.5000  2 F 2.57
Pb 0.5000 0.0000 0.0000  2 F 2.57
As 0.5000 0.5000 0.5000  12 Pb 3.63
F 0.0000 0.0000 0.0000  6 Pb 2.57



[8]
First-principles (PBE) data for a relaxed As2Pb2F crystal, as listed in Alexandria via LeMat-Bulk.

Space-group type: P4/mbm (127)
Raw formation energy, eV per atom: -0.52
E, eV/atom: -4.237

a = 7.2786 Å, b = 7.2786 Å, c = 4.7883 Å
α = 90.00°, β = 90.00°, γ = 90.00°
Closest atoms and distances in Å follow each position.
Element x y z (fractional)
Pb 0.2989 0.7989 0.0000  2 F 2.62
Pb 0.7989 0.7011 0.0000  2 F 2.62
Pb 0.7011 0.2011 0.0000  2 F 2.62
Pb 0.2011 0.2989 0.0000  2 F 2.62
As 0.1169 0.6169 0.5000  1 As 2.41
As 0.6169 0.8831 0.5000  1 As 2.41
As 0.8831 0.3831 0.5000  1 As 2.41
As 0.3831 0.1169 0.5000  1 As 2.41
F 0.0000 0.0000 0.0000  4 Pb 2.62
F 0.5000 0.5000 0.0000  4 Pb 2.62



- The lowest E belongs to which entry?
  AsPb2F7



- Which value of raw formation energy does entry 3 give?
  -1.04 eV per atom